(1)
The following is a PBE with a Hubbard U calculation of an optimized crystal structure of Ni2HCl2O2, from Alexandria.

Output
* calculated total energy: -54.72 eV/cell

Cell lengths 8.795, 3.142, 8.062 Å; angles 90.00, 96.47, 90.00 degrees
Space group C2/m (No. 12)
Asymmetric unit:
Ni 0.242 0.000 0.154
H 0.000 0.500 0.000
Cl 0.131 0.000 0.671
O 0.135 0.500 0.045

***

(2)
The following is a PBE with a Hubbard U calculation of an optimized crystal structure of NiHClO, from Alexandria.

Output
* calculated total energy: -33.47 eV/cell

Cell lengths 5.738, 3.323, 6.102 Å; angles 90.00, 116.24, 90.00 degrees
Space group Cm (No. 8)
Asymmetric unit:
Ni 0.000 0.000 0.000
H 0.333 0.500 0.338
Cl 0.205 0.000 0.725
O 0.242 0.500 0.160

***

(3)
The following is a PBE with a Hubbard U calculation of an optimized crystal structure of NiH12Cl2O6, from Alexandria.

Output
* calculated total energy: -195.94 eV/cell

Cell lengths 10.302, 7.058, 6.730 Å; angles 90.00, 122.72, 90.00 degrees
Space group C2/m (No. 12)
Asymmetric unit:
Ni 0.000 0.000 0.000
H 0.056 0.269 0.778
H 0.111 0.306 0.277
H 0.182 0.000 0.546
H 0.237 0.500 0.173
Cl 0.225 0.500 0.849
O 0.038 0.202 0.253
O 0.218 0.500 0.303